(1)
A geometry-optimized Cs2Li2Ag structure. Source: Alexandria via LeMat-Bulk, functional PBE-GGA.

Output
The value obtained for the magnetization is 0.00 μB/atom. For the total energy, the calculation gives -15.4 eV per cell. The calculated formation energy is 138 meV/atom.

a = 4.384 Å, b = 4.384 Å, c = 23.460 Å
α = 90.00°, β = 90.00°, γ = 90.00°
Space group I4/mmm (No. 139)
One atom of each set of equivalent atoms:
Cs  0.000  0.000  0.097 (multiplicity 4)
Li  0.000  0.500  0.250 (multiplicity 4)
Ag  0.000  0.000  0.500 (multiplicity 2)



(2)
A geometry-optimized CsLi2Ag2 structure. Source: Alexandria via LeMat-Bulk, functional PBE-GGA.

Output
The value obtained for the magnetization is 0.00 μB/atom. For the distance to the lowest polymorph of the same formula, the calculation gives 0.000 eV/atom. For the total energy, the calculation gives -20.5 eV per cell. The calculated formation energy is 22 meV/atom.

a = 4.847 Å, b = 4.847 Å, c = 11.944 Å
α = 90.00°, β = 90.00°, γ = 90.00°
Space group I4/mmm (No. 139)
One atom of each set of equivalent atoms:
Cs  0.000  0.000  0.000 (multiplicity 2)
Li  0.000  0.500  0.250 (multiplicity 4)
Ag  0.000  0.000  0.375 (multiplicity 4)



(3)
A geometry-optimized Cs2LiAg2 structure. Source: Alexandria via LeMat-Bulk, functional PBE-GGA.

Output
The value obtained for the magnetization is 0.00 μB/atom. For the distance to the lowest polymorph of the same formula, the calculation gives 0.141 eV/atom. For the total energy, the calculation gives -15.8 eV per cell. The calculated formation energy is 280 meV/atom.

a = 10.554 Å, b = 10.554 Å, c = 3.998 Å
α = 90.00°, β = 90.00°, γ = 90.00°
Space group P4/mbm (No. 127)
One atom of each set of equivalent atoms:
Cs  0.138  0.362  0.000 (multiplicity 4)
Li  0.000  0.000  0.000 (multiplicity 2)
Ag  0.163  0.663  0.500 (multiplicity 4)



(4)
A geometry-optimized CsLi3Ag structure. Source: Alexandria via LeMat-Bulk, functional PBE-GGA.

Output
The value obtained for the magnetization is 0.00 μB/atom. For the distance to the lowest polymorph of the same formula, the calculation gives 0.000 eV/atom. For the total energy, the calculation gives -8.9 eV per cell. The calculated formation energy is 103 meV/atom.

a = 5.464 Å, b = 5.464 Å, c = 5.464 Å
α = 90.00°, β = 90.00°, γ = 90.00°
Space group Pm-3m (No. 221)
One atom of each set of equivalent atoms:
Cs  0.000  0.000  0.000 (multiplicity 1)
Li  0.000  0.500  0.500 (multiplicity 3)
Ag  0.500  0.500  0.500 (multiplicity 1)



(5)
A geometry-optimized CsLiAg structure. Source: Alexandria via LeMat-Bulk, functional PBE-GGA.

Output
The value obtained for the magnetization is 0.00 μB/atom. For the total energy, the calculation gives -44.5 eV per cell. The calculated formation energy is 18 meV/atom.

a = 23.114 Å, b = 4.850 Å, c = 9.230 Å
α = 90.00°, β = 90.93°, γ = 90.00°
Space group C2/m (No. 12)
One atom of each set of equivalent atoms:
Cs  0.081  0.000  0.311 (multiplicity 4)
Cs  0.114  0.500  0.862 (multiplicity 4)
Li  0.230  0.500  0.211 (multiplicity 4)
Li  0.239  0.500  0.606 (multiplicity 4)
Ag  0.182  0.000  0.603 (multiplicity 4)
Ag  0.230  0.000  0.074 (multiplicity 4)



(6)
A geometry-optimized Cs3LiAg structure. Source: Alexandria via LeMat-Bulk, functional PBE-GGA.

Output
The value obtained for the magnetization is 0.00 μB/atom. For the distance to the lowest polymorph of the same formula, the calculation gives 0.000 eV/atom. For the total energy, the calculation gives -6.5 eV per cell. The calculated formation energy is 166 meV/atom.

a = 7.263 Å, b = 7.263 Å, c = 7.263 Å
α = 90.00°, β = 90.00°, γ = 90.00°
Space group Pm-3m (No. 221)
One atom of each set of equivalent atoms:
Cs  0.000  0.000  0.500 (multiplicity 3)
Li  0.500  0.500  0.500 (multiplicity 1)
Ag  0.000  0.000  0.000 (multiplicity 1)



(7)
A geometry-optimized CsLiMn2Ag structure. Source: Alexandria via LeMat-Bulk, functional PBE-GGA.

Output
The value obtained for the magnetization is 1.83 μB/atom. For the total energy, the calculation gives -15.0 eV per cell. The calculated formation energy is 1791 meV/atom.

a = 6.420 Å, b = 6.420 Å, c = 6.367 Å
α = 90.00°, β = 90.00°, γ = 90.00°
Space group P4/mmm (No. 123)
One atom of each set of equivalent atoms:
Cs  0.000  0.000  0.000 (multiplicity 1)
Li  0.500  0.500  0.500 (multiplicity 1)
Mn  0.000  0.500  0.000 (multiplicity 2)
Ag  0.000  0.000  0.500 (multiplicity 1)



(8)
A geometry-optimized CsLi2AgN structure. Source: Alexandria via LeMat-Bulk, functional PBE-GGA.

Output
The value obtained for the magnetization is 0.00 μB/atom. For the total energy, the calculation gives -9.6 eV per cell.

a = 5.502 Å, b = 5.502 Å, c = 4.499 Å
α = 90.00°, β = 90.00°, γ = 90.00°
Space group P4/mmm (No. 123)
One atom of each set of equivalent atoms:
Cs  0.000  0.000  0.000 (multiplicity 1)
Li  0.000  0.500  0.000 (multiplicity 2)
Ag  0.500  0.500  0.500 (multiplicity 1)
N  0.000  0.000  0.500 (multiplicity 1)



(9)
A geometry-optimized CsNa2LiAg structure. Source: Alexandria via LeMat-Bulk, functional PBE-GGA.

Output
The value obtained for the magnetization is 0.00 μB/atom. For the distance to the lowest polymorph of the same formula, the calculation gives 0.045 eV/atom. For the total energy, the calculation gives -7.7 eV per cell. The calculated formation energy is 119 meV/atom.

a = 5.982 Å, b = 5.982 Å, c = 5.355 Å
α = 90.00°, β = 90.00°, γ = 90.00°
Space group P4/mmm (No. 123)
One atom of each set of equivalent atoms:
Cs  0.000  0.000  0.000 (multiplicity 1)
Na  0.000  0.500  0.500 (multiplicity 2)
Li  0.500  0.500  0.500 (multiplicity 1)
Ag  0.500  0.500  0.000 (multiplicity 1)



(10)
A geometry-optimized CsNa2LiAg structure. Source: Alexandria via LeMat-Bulk, functional PBE-GGA.

Output
The value obtained for the magnetization is 0.00 μB/atom. For the distance to the lowest polymorph of the same formula, the calculation gives 0.000 eV/atom. For the total energy, the calculation gives -7.9 eV per cell. The calculated formation energy is 74 meV/atom.

a = 5.994 Å, b = 5.994 Å, c = 5.507 Å
α = 90.00°, β = 90.00°, γ = 90.00°
Space group P4/mmm (No. 123)
One atom of each set of equivalent atoms:
Cs  0.000  0.000  0.000 (multiplicity 1)
Na  0.000  0.500  0.500 (multiplicity 2)
Li  0.500  0.500  0.000 (multiplicity 1)
Ag  0.500  0.500  0.500 (multiplicity 1)



(11)
A geometry-optimized CsNaLi2Ag structure. Source: Alexandria via LeMat-Bulk, functional PBE-GGA.

Output
The value obtained for the magnetization is 0.00 μB/atom. For the total energy, the calculation gives -8.4 eV per cell. The calculated formation energy is 93 meV/atom.

a = 5.491 Å, b = 5.491 Å, c = 5.942 Å
α = 90.00°, β = 90.00°, γ = 90.00°
Space group P4/mmm (No. 123)
One atom of each set of equivalent atoms:
Cs  0.000  0.000  0.000 (multiplicity 1)
Na  0.500  0.500  0.000 (multiplicity 1)
Li  0.000  0.500  0.500 (multiplicity 2)
Ag  0.500  0.500  0.500 (multiplicity 1)



(12)
A geometry-optimized CsLiNi2Ag structure. Source: Alexandria via LeMat-Bulk, functional PBE-GGA.

Output
The value obtained for the magnetization is 0.00 μB/atom. For the total energy, the calculation gives -9.1 eV per cell. The calculated formation energy is 1613 meV/atom.

a = 4.919 Å, b = 4.919 Å, c = 6.340 Å
α = 90.00°, β = 90.00°, γ = 90.00°
Space group P4/mmm (No. 123)
One atom of each set of equivalent atoms:
Cs  0.000  0.000  0.000 (multiplicity 1)
Li  0.500  0.500  0.500 (multiplicity 1)
Ni  0.000  0.500  0.000 (multiplicity 2)
Ag  0.000  0.000  0.500 (multiplicity 1)



(13)
A geometry-optimized CsLiAgO2 structure. Source: Alexandria via LeMat-Bulk, functional PBE-GGA.

Output
The value obtained for the magnetization is 0.09 μB/atom. For the total energy, the calculation gives -80.6 eV per cell.

a = 5.357 Å, b = 12.441 Å, c = 5.503 Å
α = 90.00°, β = 90.00°, γ = 90.00°
Space group Cmme (No. 67)
One atom of each set of equivalent atoms:
Cs  0.000  0.250  0.228 (multiplicity 4)
Li  0.250  0.000  0.000 (multiplicity 4)
Ag  0.000  0.000  0.500 (multiplicity 4)
O  0.000  0.088  0.808 (multiplicity 8)